Density functional theory data (PBE-GGA) for TaBeCuAs after structural relaxation.

The structure in CIF format:
```
data_TaBeCuAs
_chemical_formula_sum 'Ta4 Be4 Cu4 As4'
_cell_length_a 6.138
_cell_length_b 6.138
_cell_length_c 6.138
_cell_angle_alpha 90.00
_cell_angle_beta 90.00
_cell_angle_gamma 90.00
_symmetry_space_group_name_H-M 'F -4 3 m'
_symmetry_Int_Tables_number 216
_symmetry_space_group_name_Hall 'F -4 2 3'
loop_
_atom_site_label
_atom_site_fract_x
_atom_site_fract_y
_atom_site_fract_z
Ta1 0.000 0.000 0.000
Be1 0.250 0.250 0.250
Cu1 0.250 0.250 0.750
As1 0.000 0.000 0.500
```

Results
- VASP energy (eV per cell) = -85.754
- calculated density (g cm⁻³) = 9.4

Density functional theory data (PBE-GGA) for Zr2FeN after structural relaxation.

The structure in CIF format:
```
data_Zr2FeN
_chemical_formula_sum 'Zr24 Fe12 N12'
_cell_length_a 9.565
_cell_length_b 5.513
_cell_length_c 13.697
_cell_angle_alpha 90.00
_cell_angle_beta 103.84
_cell_angle_gamma 90.00
_symmetry_space_group_name_H-M 'C 1 2/c 1'
_symmetry_Int_Tables_number 15
loop_
_symmetry_equiv_pos_as_xyz
'x,y,z'
'-x,-y,-z'
'-x,y,-z+1/2'
'x,-y,z+1/2'
'x+1/2,y+1/2,z'
'-x+1/2,-y+1/2,-z'
'-x+1/2,y+1/2,-z+1/2'
'x+1/2,-y+1/2,z+1/2'
loop_
_atom_site_label
_atom_site_fract_x
_atom_site_fract_y
_atom_site_fract_z
Zr1 0.042 0.083 0.382
Zr2 0.115 0.413 0.595
Zr3 0.219 0.417 0.905
Fe1 0.000 0.420 0.750
Fe2 0.248 0.163 0.750
N1 0.080 0.240 0.000
N2 0.250 0.250 0.500
```

Results
- VASP energy (eV per cell) = -440.642
- calculated density (g cm⁻³) = 7.2

The lowest calculated density belongs to which entry?
Zr2FeN

The highest VASP energy belongs to which entry?
TaBeCuAs

What did the first record say?
Density functional theory data (PBE-GGA) for TaBeCuAs after structural relaxation.

The structure in CIF format:
```
data_TaBeCuAs
_chemical_formula_sum 'Ta4 Be4 Cu4 As4'
_cell_length_a 6.138
_cell_length_b 6.138
_cell_length_c 6.138
_cell_angle_alpha 90.00
_cell_angle_beta 90.00
_cell_angle_gamma 90.00
_symmetry_space_group_name_H-M 'F -4 3 m'
_symmetry_Int_Tables_number 216
_symmetry_space_group_name_Hall 'F -4 2 3'
loop_
_atom_site_label
_atom_site_fract_x
_atom_site_fract_y
_atom_site_fract_z
Ta1 0.000 0.000 0.000
Be1 0.250 0.250 0.250
Cu1 0.250 0.250 0.750
As1 0.000 0.000 0.500
```

Results
- VASP energy (eV per cell) = -85.754
- calculated density (g cm⁻³) = 9.4

Which value of VASP energy does entry 1 give?
-85.754 eV per cell